one | 4
Lattice="5.2570 0.0000 0.0000 2.6285 4.5527 0.0000 2.6285 1.5176 4.2923" Properties=species:S:1:pos:R:3 comment="Pm2BeIn | Alexandria | PBE | relaxed" crystal_system=cubic space_group="No. 225" pbc="T T T"
Pm 2.6285 1.5176 1.0731
In 0.0000 0.0000 0.0000
Be 5.2570 3.0351 2.1461
Pm 7.8855 4.5527 3.2192

***

two | 4
Lattice="-0.0219 3.3229 -1.4209 0.7279 -1.3877 -3.2566 -7.5061 -0.6487 -1.4013" Properties=species:S:1:pos:R:3 comment="Pm2BeIn | Alexandria | PBE | relaxed" crystal_system=tetragonal space_group="No. 123" pbc="T T T"
In -3.4000 0.6432 -3.0394
Be 0.3530 0.9676 -2.3387
Pm -5.8636 -0.5068 -1.0947
Pm -1.6425 -0.1419 -0.3066

***

Verdict on stability: one comes out at the bottom.

***

one | 3
Lattice="-0.5350 4.5619 -0.7455 -3.6358 1.5450 -2.4590 -3.4297 2.3183 2.1249" Properties=species:S:1:pos:R:3 comment="PrBeIn | Alexandria | PBE | relaxed" crystal_system=cubic space_group="No. 216" pbc="T T T"
In 0.0000 0.0000 0.0000
Pr -3.8003 4.2126 -0.5398
Be -1.9001 2.1063 -0.2699

***

two | 12
Lattice="-2.1956 -3.2041 -2.5423 6.0195 -4.5752 0.5675 -2.9417 -3.0746 6.4155" Properties=species:S:1:pos:R:3 comment="PrBeIn | Alexandria | PBE | relaxed" crystal_system=orthorhombic space_group="No. 62" pbc="T T T"
In 0.6581 -5.9930 4.8655
In 0.2241 -4.8609 -0.4248
Be -1.5153 -6.8296 3.5585
Pr 1.1049 -7.2233 1.7919
Pr -0.2227 -3.6306 2.6488
Pr 3.0785 -6.0682 -1.3685
Be -2.0909 -3.7368 0.1579
Pr -2.1963 -4.7857 5.8091
In 4.0085 -5.8843 1.8349
In -3.1263 -4.9696 2.6057
Be 2.3975 -4.0243 0.8821
Be 2.9732 -7.1171 4.2828

***

Verdict on stability: one comes out at the bottom.

***

one | 4
Lattice="5.0053 -0.0305 0.0009 4.1492 2.7995 0.0009 1.4244 0.4308 4.4048" Properties=species:S:1:pos:R:3 comment="BeInPt2 | Alexandria | PBE | relaxed" crystal_system=monoclinic space_group="No. 8" pbc="T T T"
Pt 8.1495 2.4650 2.9014
Be 5.3256 1.6109 2.7473
In 2.4107 0.7292 0.9195
Pt 9.1370 2.7637 0.0433

***

two | 4
Lattice="-1.6438 4.7539 0.3994 -3.9897 1.1646 -2.8614 1.1682 -3.6971 3.2292" Properties=species:S:1:pos:R:3 comment="BeInPt2 | Alexandria | PBE | relaxed" crystal_system=tetragonal space_group="No. 119" pbc="T T T"
Be -2.8167 2.9593 -1.2310
Pt 0.0000 0.0000 0.0000
Pt -2.8191 0.2134 -0.4316
In -1.6461 2.0080 1.1988

***

Verdict on stability: two comes out at the bottom.

***

one | 4
Lattice="0.0000 3.1341 3.1341 3.1341 0.0000 3.1341 3.1341 3.1341 0.0000" Properties=species:S:1:pos:R:3 comment="BeInPt2 | Alexandria | PBE | relaxed" crystal_system=cubic space_group="No. 225" pbc="T T T"
In 3.1341 3.1341 3.1341
Pt 1.5671 1.5671 1.5671
Be 0.0000 0.0000 0.0000
Pt 4.7012 4.7012 4.7012

***

two | 4
Lattice="2.8702 0.0000 0.0000 0.0000 3.6311 0.0000 0.0000 0.0000 6.1723" Properties=species:S:1:pos:R:3 comment="BeInPt2 | Alexandria | PBE | relaxed" crystal_system=orthorhombic space_group="No. 25" pbc="T T T"
Be 0.0000 0.0000 2.4406
In 1.4351 1.8155 4.7289
Pt 1.4351 1.8155 1.9969
Pt 0.0000 0.0000 0.0921

***

Verdict on stability: one comes out at the bottom.

***

one | 4
Lattice="8.3556 0.0111 0.0065 7.8300 2.9165 0.0065 7.8300 1.4163 2.5496" Properties=species:S:1:pos:R:3 comment="BeInPt2 | Alexandria | PBE | relaxed" crystal_system=trigonal space_group="No. 166" pbc="T T T"
Pt 12.3799 2.2392 1.3210
Be 6.0039 1.0860 0.6407
Pt 23.6435 4.2766 2.5230
In 18.0117 3.2579 1.9220

***

two | 4
Lattice="-0.4042 2.6492 1.0684 -2.2762 0.3567 -1.7458 -6.7360 -2.2853 3.1184" Properties=species:S:1:pos:R:3 comment="BeInPt2 | Alexandria | PBE | relaxed" crystal_system=monoclinic space_group="No. 10" pbc="T T T"
Pt -4.2326 -0.8413 0.4848
Be -2.4551 0.8424 0.8773
In -6.9612 -0.1219 1.5636
Pt -2.5496 0.2338 -1.5443

***

three | 4
Lattice="4.6825 -0.0126 0.0000 1.1707 4.5339 0.0000 -2.9266 -2.2607 2.8724" Properties=species:S:1:pos:R:3 comment="BeInPt2 | Alexandria | PBE | relaxed" crystal_system=tetragonal space_group="No. 139" pbc="T T T"
In 2.3413 -0.0063 1.4362
Pt 2.9266 2.2607 0.0000
Be 0.5853 2.2669 1.4362
Pt 0.0000 0.0000 0.0000

***

Verdict on stability: one comes out at the bottom.

***

one | 4
Lattice="4.3223 0.0000 0.0000 0.0000 2.9293 0.0332 0.0000 1.4043 5.0523" Properties=species:S:1:pos:R:3 comment="BeInPt2 | Alexandria | PBE | relaxed" crystal_system=monoclinic space_group="No. 6" pbc="T T T"
Pt 0.0000 0.1800 0.0991
In 2.1611 3.0629 3.8816
Be 0.0000 1.6333 2.0935
Pt 2.1611 1.6241 1.5540

***

two | 4
Lattice="-1.5689 2.3451 3.4516 -2.8467 -1.8856 2.8662 1.3261 -0.9737 4.1434" Properties=species:S:1:pos:R:3 comment="BeInPt2 | Alexandria | PBE | relaxed" crystal_system=cubic space_group="No. 216" pbc="T T T"
In -2.3172 -0.3857 7.8459
Pt -0.7724 -0.1286 2.6153
Pt 0.0000 0.0000 0.0000
Be -1.5448 -0.2571 5.2306

***

three | 4
Lattice="-5.4788 -6.2177 2.3216 -3.0789 -7.8298 1.8114 -3.4480 -6.5312 4.4183" Properties=species:S:1:pos:R:3 comment="BeInPt2 | Alexandria | PBE | relaxed" crystal_system=trigonal space_group="No. 160" pbc="T T T"
In -9.0644 -15.5371 6.4563
Be -6.1095 -10.4722 4.3516
Pt -11.9878 -20.5480 8.5386
Pt -2.8525 -4.8895 2.0318

***

Verdict on stability: three comes out at the bottom.